Ca2Ag7 | meta-GGA SCAN | PBEsol geometry

POSCAR file:
```
Ca2Ag7
1.0
-1.4490 2.9806 -4.2674
3.8281 -3.7676 -0.5874
-9.7016 -9.3525 -3.2382
Ag Ca
14 4
direct
0.1732 0.1732 0.2500 Ag
0.3349 0.0063 0.0762 Ag
0.1737 0.6719 0.2500 Ag
0.3349 0.0063 0.4238 Ag
0.0063 0.3349 0.4238 Ag
0.3281 0.8263 0.7500 Ag
0.0063 0.3349 0.0762 Ag
0.6651 0.9937 0.5762 Ag
0.9937 0.6651 0.9238 Ag
0.8263 0.3281 0.7500 Ag
0.8268 0.8268 0.7500 Ag
0.9937 0.6651 0.5762 Ag
0.6719 0.1737 0.2500 Ag
0.6651 0.9937 0.9238 Ag
0.3226 0.3226 0.8853 Ca
0.3226 0.3226 0.6147 Ca
0.6774 0.6774 0.3853 Ca
0.6774 0.6774 0.1147 Ca
```

## Properties
As for the calculated volume: 352.98 Å³/cell. As for the formation enthalpy at 0 K: -2.083 eV/f.u. As for the crystal system: orthorhombic.


CaAg2 | meta-GGA SCAN | PBEsol geometry

POSCAR file:
```
CaAg2
1.0
5.6423 0.0000 0.0000
2.8212 4.8864 0.0000
2.8212 1.6288 4.6069
Ag Ca
4 2
direct
0.6250 0.1250 0.1250 Ag
0.1250 0.1250 0.1250 Ag
0.1250 0.6250 0.1250 Ag
0.1250 0.1250 0.6250 Ag
0.7500 0.7500 0.7500 Ca
0.5000 0.5000 0.5000 Ca
```

## Properties
As for the calculated volume: 127.02 Å³/cell. As for the formation enthalpy at 0 K: -0.807 eV/f.u. As for the crystal system: cubic.


Ca3Ag | meta-GGA SCAN | PBEsol geometry

POSCAR file:
```
Ca3Ag
1.0
6.7019 0.0000 0.0000
0.0000 7.9317 0.0000
0.0000 0.0000 9.7723
Ca Ag
12 4
direct
0.3685 0.5323 0.7500 Ca
0.6568 0.1774 0.5603 Ca
0.6315 0.4677 0.2500 Ca
0.1315 0.0323 0.7500 Ca
0.3432 0.8226 0.4397 Ca
0.1568 0.3226 0.0603 Ca
0.3432 0.8226 0.0603 Ca
0.6568 0.1774 0.9397 Ca
0.8685 0.9677 0.2500 Ca
0.8432 0.6774 0.9397 Ca
0.1568 0.3226 0.4397 Ca
0.8432 0.6774 0.5603 Ca
0.5535 0.8803 0.7500 Ag
0.4465 0.1197 0.2500 Ag
0.0535 0.6197 0.2500 Ag
0.9465 0.3803 0.7500 Ag
```

## Properties
As for the calculated volume: 519.47 Å³/cell. As for the formation enthalpy at 0 K: -0.864 eV/f.u. For the energy above the lowest structure with this stoichiometry, the calculation gives 0.0 kJ/mol of atoms. As for the crystal system: orthorhombic.


CaAg | meta-GGA SCAN | PBEsol geometry

POSCAR file:
```
CaAg
1.0
3.5647 0.0000 0.0000
0.0000 5.1430 -0.0493
-1.7823 -1.6008 5.3159
Ca Ag
2 2
direct
0.3962 0.1799 0.7924 Ca
0.6038 0.8201 0.2076 Ca
0.8493 0.6408 0.6986 Ag
0.1507 0.3592 0.3014 Ag
```

## Properties
As for the calculated volume: 97.18 Å³/cell. As for the formation enthalpy at 0 K: -0.470 eV/f.u. As for the crystal system: monoclinic.